{"formula": "ScRhCl", "functional": "PBE", "state": "optimized geometry", "lattice": [[-0.5373, 3.6032, -2.4578], [-3.8238, 2.1644, 0.0802], [-0.2505, 3.9481, 1.9138]], "species": ["Cl", "Rh", "Sc"], "frac_coords": [[0.5000, 0.5000, 0.5000], [0.7500, 0.7500, 0.7500], [0.0000, 0.0000, 0.0000]], "e_tot_ev_per_atom": -5.57, "n_ef_per_ev_atom": 0.740, "raw_formation_energy_kj_per_mol_atoms": -38, "polymorph_energy_mev_per_atom": 554.6, "sg": "F-43m (216)"}

{"formula": "HoEr4Sc5", "functional": "PBE", "state": "optimized geometry", "lattice": [[-2.1531, -4.8443, 0.2342], [8.2592, -3.9913, -6.6256], [-0.5038, 3.4780, 7.1938]], "species": ["Ho", "Er", "Er", "Er", "Er", "Sc", "Sc", "Sc", "Sc", "Sc"], "frac_coords": [[0.5000, 0.0000, 0.0000], [0.3796, 0.1331, 0.7592], [0.1206, 0.3733, 0.2413], [0.6204, 0.8669, 0.2408], [0.8793, 0.6267, 0.7587], [0.8487, 0.2965, 0.6975], [0.8403, 0.8902, 0.6805], [0.1597, 0.1098, 0.3194], [0.5000, 0.5000, 0.0000], [0.1512, 0.7035, 0.3025]], "e_tot_ev_per_atom": -5.19, "n_ef_per_ev_atom": 2.053, "polymorph_energy_mev_per_atom": 0.0, "sg": "C2/m (12)", "formation_energy_kj_per_mol_fu": 249}

{"formula": "Tb2Y3Tm2", "functional": "PBE", "state": "optimized geometry", "lattice": [[-0.3262, 1.7271, 3.0124], [-3.6003, -6.8457, 3.5351], [8.7914, 0.0714, -1.1080]], "species": ["Tb", "Tb", "Y", "Y", "Y", "Tm", "Tm"], "frac_coords": [[0.5652, 0.9105, 0.1305], [0.4348, 0.0895, 0.8695], [0.0000, 0.5000, 0.0000], [0.2121, 0.7989, 0.4242], [0.7879, 0.2011, 0.5758], [0.8529, 0.6742, 0.7058], [0.1471, 0.3258, 0.2942]], "e_tot_ev_per_atom": -5.25, "n_ef_per_ev_atom": 1.678, "polymorph_energy_mev_per_atom": 98.2, "sg": "C2/m (12)", "formation_energy_kj_per_mol_fu": 83}